(1)
Density functional theory data (PBE-GGA) for crystalline Tb2PmNd at its relaxed geometry.

a = 3.6606 Å, b = 6.8671 Å, c = 6.8671 Å
α = 54.92°, β = 74.59°, γ = 74.59°
Closest atoms and distances in Å follow each position.
Sites, in units of the cell vectors:
Tb (0.5001, 0.5841, 0.4152)  3 Nd 3.58-3.60, 3 Pm 3.59-3.60, 6 Tb 3.66
Tb (0.9999, 0.0848, 0.9159)  3 Nd 3.58-3.60, 3 Pm 3.59-3.60, 6 Tb 3.66
Nd (0.7500, 0.6658, 0.8341)  6 Tb 3.58-3.60, 4 Pm 3.65-3.66, 2 Nd 3.66
Pm (0.2500, 0.1652, 0.3348)  6 Tb 3.59-3.60, 4 Nd 3.65-3.66, 2 Pm 3.66

## Properties
E above lowest polymorph   18 meV per atom
ΔH_f (0 K)   0.030 eV/atom

=====

(2)
Density functional theory data (PBE-GGA) for crystalline MnFe2Cu at its relaxed geometry.

a = 4.0440 Å, b = 4.0440 Å, c = 4.0440 Å
α = 60.00°, β = 60.00°, γ = 60.00°
Closest atoms and distances in Å follow each position.
Sites, in units of the cell vectors:
Fe (0.2500, 0.2500, 0.2500)  4 Mn 2.48, 4 Cu 2.48
Fe (0.7500, 0.7500, 0.7500)  4 Mn 2.48, 4 Cu 2.48
Cu (0.5000, 0.5000, 0.5000)  8 Fe 2.48
Mn (0.0000, 0.0000, 0.0000)  8 Fe 2.48

## Properties
ΔH_f (0 K)   0.284 eV/atom

=====

(3)
Density functional theory data (PBE-GGA) for crystalline Li2InAgSn at its relaxed geometry.

a = 7.0935 Å, b = 5.4458 Å, c = 5.6907 Å
α = 90.00°, β = 90.00°, γ = 90.00°
Closest atoms and distances in Å follow each position.
Sites, in units of the cell vectors:
Sn (0.3505, 0.2500, 0.0000)  2 Ag 2.83, 6 Li 2.93-3.10
Sn (0.6495, 0.7500, 0.0000)  2 Ag 2.83, 6 Li 2.93-3.10
Li (0.2886, 0.7500, 0.7497)  2 Ag 2.84, 2 Li 2.84-2.85, 3 Sn 2.93-3.10
Li (0.7114, 0.2500, 0.7497)  2 Ag 2.84, 2 Li 2.84-2.85, 3 Sn 2.93-3.10
Li (0.7114, 0.2500, 0.2503)  2 Ag 2.84, 2 Li 2.84-2.85, 3 Sn 2.93-3.10
Li (0.2886, 0.7500, 0.2503)  2 Ag 2.84, 2 Li 2.84-2.85, 3 Sn 2.93-3.10
In (0.1201, 0.2500, 0.5000)  2 In 3.21, 6 Li 3.23-3.30, 4 Ag 3.27, 2 Sn 3.28
In (0.8799, 0.7500, 0.5000)  2 In 3.21, 6 Li 3.23-3.30, 4 Ag 3.27, 2 Sn 3.28
Ag (0.0000, 0.0000, 0.0000)  2 Ag 2.72, 2 Sn 2.83, 4 Li 2.84
Ag (0.0000, 0.5000, 0.0000)  2 Ag 2.72, 2 Sn 2.83, 4 Li 2.84

## Properties
ΔH_f (0 K)   -0.136 eV/atom

=====

(4)
Density functional theory data (PBE-GGA) for crystalline KCaHg at its relaxed geometry.

a = 5.6763 Å, b = 5.6763 Å, c = 5.6763 Å
α = 60.00°, β = 60.00°, γ = 60.00°
Closest atoms and distances in Å follow each position.
Sites, in units of the cell vectors:
Ca (0.0000, 0.0000, 0.0000)  4 K 3.48
K (0.7500, 0.7500, 0.7500)  4 Hg 3.48, 4 Ca 3.48
Hg (0.5000, 0.5000, 0.5000)  4 K 3.48

## Properties
E above lowest polymorph   508 meV per atom
ΔH_f (0 K)   0.275 eV/atom

=====

(5)
Density functional theory data (PBE-GGA) for crystalline ZnN2Cl2 at its relaxed geometry.

a = 3.6080 Å, b = 3.6071 Å, c = 10.6540 Å
α = 89.48°, β = 90.00°, γ = 120.01°
Closest atoms and distances in Å follow each position.
Sites, in units of the cell vectors:
Cl (0.3355, 0.6711, 0.8715)  3 Zn 2.49
Cl (0.6645, 0.3289, 0.1285)  3 Zn 2.49
N (0.0222, 0.0444, 0.5505)  1 N 1.11
N (0.9778, 0.9556, 0.4495)  1 N 1.11
Zn (0.0000, 0.0000, 0.0000)  6 Cl 2.49

## Properties
Formation energy from raw total energies   -3.20 eV per formula unit
E above lowest polymorph   0 meV per atom

=====

(6)
Density functional theory data (PBE-GGA) for crystalline TaInRh2 at its relaxed geometry.

a = 4.6858 Å, b = 2.9923 Å, c = 4.7138 Å
α = 89.99°, β = 90.00°, γ = 90.00°
Closest atoms and distances in Å follow each position.
Sites, in units of the cell vectors:
Ta (0.0000, 0.6248, 0.4032)  8 Rh 2.76-2.82, 2 Ta 2.99
Rh (0.5000, 0.1250, 0.3397)  4 In 2.77-2.82, 4 Ta 2.80, 4 Rh 2.99-3.09
Rh (0.0000, 0.1253, 0.9111)  4 Ta 2.76-2.82, 4 In 2.80, 2 Rh 2.99
In (0.5000, 0.6250, 0.8460)  8 Rh 2.77-2.82, 2 In 2.99

## Properties
ΔH_f (0 K)   -0.347 eV/atom

=====

Calculated volume values, unit Å³ per atom, following the record order: 33.69 11.69 21.98 43.11 24.01 16.52.
DOS(E_F) values, unit states/eV per cell, following the record order: 7.15 4.68 2.16 2.55 0.00 3.40.